[1]
Compound: RuSe2Br
Source: Alexandria via LeMat-Bulk
Functional: PBEsol
Structure: relaxed

Cell and atoms, written as CIF:
```
data_RuSe2Br
_chemical_formula_sum 'Ru1 Se2 Br1'
_cell_length_a 3.304
_cell_length_b 3.304
_cell_length_c 8.797
_cell_angle_alpha 79.18
_cell_angle_beta 79.18
_cell_angle_gamma 60.00
_space_group_name_H-M_alt 'P 1'
_space_group_IT_number 1
loop_
_space_group_symop_operation_xyz
'x,y,z'
loop_
_atom_site_label
_atom_site_type_symbol
_atom_site_fract_x
_atom_site_fract_y
_atom_site_fract_z
Se1 Se 0.981 0.981 0.056
Se2 Se 0.739 0.739 0.782
Ru1 Ru 0.258 0.258 0.225
Br1 Br 0.521 0.521 0.437
```

Calculated values
For the density of states at the Fermi level, the calculation gives 4.702 states/eV per cell. Its crystal system is trigonal. Its space group is R3m (160). The calculation puts the excess energy over the best structure of this formula in the dataset at 328 meV/atom. As for the density: 6.9 g/cm³. The value obtained for the uncorrected formation energy is 0.177 eV/atom.

[2]
Compound: Ru2SeBr
Source: Alexandria via LeMat-Bulk
Functional: PBEsol
Structure: relaxed

Cell and atoms, written as CIF:
```
data_Ru2SeBr
_chemical_formula_sum 'Ru2 Se1 Br1'
_cell_length_a 2.924
_cell_length_b 2.924
_cell_length_c 8.084
_cell_angle_alpha 90.00
_cell_angle_beta 90.00
_cell_angle_gamma 90.00
_space_group_name_H-M_alt 'P 1'
_space_group_IT_number 1
loop_
_space_group_symop_operation_xyz
'x,y,z'
loop_
_atom_site_label
_atom_site_type_symbol
_atom_site_fract_x
_atom_site_fract_y
_atom_site_fract_z
Ru1 Ru 0.000 0.000 0.027
Ru2 Ru 0.500 0.500 0.235
Br1 Br 0.500 0.500 0.810
Se1 Se 0.000 0.000 0.429
```

Calculated values
For the density of states at the Fermi level, the calculation gives 4.314 states/eV per cell. Its crystal system is tetragonal. Its space group is P4mm (99). The calculation puts the excess energy over the best structure of this formula in the dataset at 0 meV/atom. As for the density: 8.7 g/cm³. The value obtained for the uncorrected formation energy is 0.290 eV/atom.

[3]
Compound: SnRuSe2Br
Source: Alexandria via LeMat-Bulk
Functional: PBEsol
Structure: relaxed

Cell and atoms, written as CIF:
```
data_SnRuSe2Br
_chemical_formula_sum 'Sn1 Ru1 Se2 Br1'
_cell_length_a 5.190
_cell_length_b 5.190
_cell_length_c 5.282
_cell_angle_alpha 90.00
_cell_angle_beta 90.00
_cell_angle_gamma 90.00
_space_group_name_H-M_alt 'P 1'
_space_group_IT_number 1
loop_
_space_group_symop_operation_xyz
'x,y,z'
loop_
_atom_site_label
_atom_site_type_symbol
_atom_site_fract_x
_atom_site_fract_y
_atom_site_fract_z
Br1 Br 0.000 0.000 0.500
Se1 Se 0.000 0.500 0.000
Se2 Se 0.500 0.000 0.000
Sn1 Sn 0.000 0.000 0.000
Ru1 Ru 0.500 0.500 0.500
```

Calculated values
For the density of states at the Fermi level, the calculation gives 5.235 states/eV per cell. Its crystal system is tetragonal. Its space group is P4/mmm (123). As for the density: 5.3 g/cm³. The value obtained for the uncorrected formation energy is 1.093 eV/atom.